Entry w
Pm8HoSc2: optimized geometry, PBE-GGA.

The structure in extended XYZ format:
```
11
Lattice="5.263 0.001 -1.596 -1.027 7.606 -3.384 -0.054 -0.509 9.274" Properties=species:S:1:pos:R:3 pbc="T T T"
Pm 2.499 6.285 -1.236
Pm 1.264 3.893 4.153
Pm 0.664 1.056 2.180
Pm -0.309 2.290 -1.017
Pm 3.517 6.042 2.114
Pm 2.917 3.204 0.141
Pm 1.682 0.813 5.530
Pm 4.490 4.807 5.311
Ho 2.631 0.000 -0.798
Sc 0.314 5.132 1.037
Sc 3.867 1.966 3.257
```

Calculated values
- Total moment: 0.0 μB/f.u.


Entry x
Pm8HoSc2: optimized geometry, PBE-GGA.

The structure in extended XYZ format:
```
11
Lattice="5.782 -0.543 -0.816 -1.727 9.004 -1.008 -1.727 -4.398 7.922" Properties=species:S:1:pos:R:3 pbc="T T T"
Pm 2.079 4.762 3.678
Pm 2.079 1.561 5.811
Pm -0.300 2.507 3.764
Pm 1.164 5.941 0.444
Pm 1.164 -1.878 5.654
Pm 2.628 1.556 2.335
Pm 0.249 2.503 0.287
Pm 0.249 -0.699 2.420
Ho 2.891 -0.272 -0.408
Sc -1.727 -0.241 5.152
Sc -1.727 4.848 1.762
```

Calculated values
- Total moment: 0.0 μB/f.u.


Least stable structure: entry x